# Pu6OsRh3 | Alexandria | PBE | optimized geometry
# DFT formation energy = 3.14 eV/f.u.
data_Pu6OsRh3
_symmetry_space_group_name_H-M 'P 63 2 2'
_symmetry_Int_Tables_number 182
_symmetry_space_group_name_Hall 'P 6c 2c'
_cell_length_a 5.8162
_cell_length_b 5.8162
_cell_length_c 12.4200
_cell_angle_alpha 90.00
_cell_angle_beta 90.00
_cell_angle_gamma 120.00
loop_
_atom_site_label
_atom_site_fract_x
_atom_site_fract_y
_atom_site_fract_z
Pu1 0.1354 0.3679 0.3410
Os1 0.3333 0.6667 0.7500
Rh1 0.0000 0.0000 0.0000
Rh2 0.3333 0.6667 0.5404

# Pu8OsRh5 | Alexandria | PBE | optimized geometry
# DFT formation energy = -4.39 eV/f.u.
data_Pu8OsRh5
_symmetry_space_group_name_H-M 'I -4'
_symmetry_Int_Tables_number 82
_cell_length_a 8.474
_cell_length_b 8.474
_cell_length_c 8.496
_cell_angle_alpha 90.00
_cell_angle_beta 90.00
_cell_angle_gamma 90.00
loop_
_symmetry_equiv_pos_as_xyz
'x,y,z'
'y,-x,-z'
'-x,-y,z'
'-y,x,-z'
'x+1/2,y+1/2,z+1/2'
'y+1/2,-x+1/2,-z+1/2'
'-x+1/2,-y+1/2,z+1/2'
'-y+1/2,x+1/2,-z+1/2'
loop_
_atom_site_label
_atom_site_fract_x
_atom_site_fract_y
_atom_site_fract_z
Pu1 0.066 0.178 0.200
Pu2 0.074 0.316 0.556
Os1 0.000 0.000 0.500
Rh1 0.000 0.500 0.250
Rh2 0.121 0.255 0.882

Result set for final energy: -11.614; -11.931 eV per atom, one per record in the order listed.
Result set for D(E_F): 47.65; 109.93 states/eV per cell, one per record in the order listed.